The following is a GGA-PBE calculation of a relaxed Ta3ReP crystal, from Alexandria.

abc: 4.8497 4.8497 4.8497
angles: 90.00 90.00 90.00
With the nearest neighbours (Å) after each atom.
Fractional coordinates of all 5 atoms:
Ta  0.0000  0.0000  0.5000  2 Re 2.42
Ta  0.0000  0.5000  0.0000  2 Re 2.42
Ta  0.5000  0.0000  0.0000  2 Re 2.42
Re  0.0000  0.0000  0.0000  6 Ta 2.42
P  0.5000  0.5000  0.5000  12 Ta 3.43

Output
The calculation puts the magnetic moment at 0.00 μB per formula unit. Its calculated formation energy is 1.42 eV per atom. The energy above the most stable polymorph in this dataset comes out at 834 meV per atom. Its symmetry is Pm-3m.